(1)
# Ac8ZnTe4As3 (PBE, optimized geometry)
# - Spin magnetization: 0.0 μB per cell
# - Density: 7.6 Mg/m³
# - Uncorrected formation energy: -1.3595 eV/atom
data_Ac8ZnTe4As3
_chemical_formula_sum 'Ac24 Zn3 Te12 As9'
_symmetry_space_group_name_H-M 'R -3 m'
_symmetry_Int_Tables_number 166
_symmetry_space_group_name_Hall '-R 3 2"'
_cell_length_a 9.2472
_cell_length_b 9.2472
_cell_length_c 23.1128
_cell_angle_alpha 90.00
_cell_angle_beta 90.00
_cell_angle_gamma 120.00
loop_
_atom_site_label
_atom_site_type_symbol
_atom_site_fract_x
_atom_site_fract_y
_atom_site_fract_z
_atom_site_occupancy
Ac1 Ac 0.0000 0.0000 0.2410 1
Ac2 Ac 0.0009 0.5005 0.7574 1
Zn1 Zn 0.0000 0.0000 0.5000 1
Te1 Te 0.0000 0.0000 0.0000 1
Te2 Te 0.0000 0.5000 0.0000 1
As1 As 0.0000 0.5000 0.5000 1



(2)
# ThNbNi2P2 (PBE, optimized geometry)
# - Spin magnetization: 0.0 μB per cell
# - Density: 8.8 Mg/m³
# - Raw total energy: -7.60 eV/atom
data_ThNbNi2P2
_chemical_formula_sum 'Th1 Nb1 Ni2 P2'
_symmetry_space_group_name_H-M 'P -3 m 1'
_symmetry_Int_Tables_number 164
_symmetry_space_group_name_Hall '-P 3 2"'
_cell_length_a 3.8276
_cell_length_b 3.8276
_cell_length_c 7.5403
_cell_angle_alpha 90.00
_cell_angle_beta 90.00
_cell_angle_gamma 120.00
loop_
_atom_site_label
_atom_site_type_symbol
_atom_site_fract_x
_atom_site_fract_y
_atom_site_fract_z
_atom_site_occupancy
Th1 Th 0.0000 0.0000 0.0000 1
Nb1 Nb 0.0000 0.0000 0.5000 1
Ni1 Ni 0.3333 0.6667 0.7145 1
P1 P 0.3333 0.6667 0.2744 1